[1]
Below is CdMoW4 after structural relaxation, with properties calculated at the PBE-GGA level.

Summary:
* size of the total moment: 0.00 μB/atom
* energy relative to the elements: 0.4549 eV/atom
* space group: F-43m, No. 216

a = 5.2950 Å, b = 5.2950 Å, c = 5.2950 Å
α = 60.00°, β = 60.00°, γ = 60.00°
Element x y z (fractional)
Cd: 0.0000 0.0000 0.0000
Mo: 0.2500 0.2500 0.2500
W: 0.1233 0.6256 0.6256
W: 0.6256 0.1233 0.6256
W: 0.6256 0.6256 0.1233
W: 0.6256 0.6256 0.6256

[2]
Below is AcTlRh2 after structural relaxation, with properties calculated at the PBE-GGA level.

Summary:
* size of the total moment: 0.00 μB/atom
* energy relative to the elements: -0.3382 eV/atom
* space group: P4/mmm, No. 123

a = 4.7238 Å, b = 4.7238 Å, c = 3.8432 Å
α = 90.00°, β = 90.00°, γ = 90.00°
Element x y z (fractional)
Ac: 0.0000 0.0000 0.0000
Tl: 0.5000 0.5000 0.0000
Rh: 0.0000 0.5000 0.5000
Rh: 0.5000 0.0000 0.5000

[3]
Below is CsRb2IrCl8 after structural relaxation, with properties calculated at the PBE-GGA level.

Summary:
* size of the total moment: 0.09 μB/atom
* formation energy from raw total energies: -1.18 eV/atom
* space group: P-1, No. 2

a = 5.7755 Å, b = 7.0115 Å, c = 9.6632 Å
α = 89.96°, β = 75.52°, γ = 89.98°
Element x y z (fractional)
Cs: 0.0000 0.0000 0.0000
Rb: 0.3461 0.5001 0.3137
Rb: 0.6539 0.4999 0.6863
Ir: 0.0000 0.0000 0.5000
Cl: 0.1711 0.2362 0.6147
Cl: 0.1711 0.7632 0.6145
Cl: 0.2448 0.5000 0.9965
Cl: 0.3280 0.0002 0.2985
Cl: 0.6720 0.9998 0.7015
Cl: 0.7552 0.5000 0.0035
Cl: 0.8289 0.2368 0.3855
Cl: 0.8289 0.7638 0.3853

[4]
Below is CaPrAgSb after structural relaxation, with properties calculated at the PBE-GGA level.

Summary:
* size of the total moment: 0.00 μB/atom
* formation energy from raw total energies: -0.61 eV/atom
* space group: F-43m, No. 216

a = 7.6197 Å, b = 7.6197 Å, c = 7.6197 Å
α = 90.00°, β = 90.00°, γ = 90.00°
Element x y z (fractional)
Ca: 0.0000 0.0000 0.0000
Ca: 0.0000 0.5000 0.5000
Ca: 0.5000 0.0000 0.5000
Ca: 0.5000 0.5000 0.0000
Pr: 0.0000 0.0000 0.5000
Pr: 0.0000 0.5000 0.0000
Pr: 0.5000 0.0000 0.0000
Pr: 0.5000 0.5000 0.5000
Ag: 0.2500 0.2500 0.7500
Ag: 0.2500 0.7500 0.2500
Ag: 0.7500 0.2500 0.2500
Ag: 0.7500 0.7500 0.7500
Sb: 0.2500 0.2500 0.2500
Sb: 0.2500 0.7500 0.7500
Sb: 0.7500 0.2500 0.7500
Sb: 0.7500 0.7500 0.2500

[5]
Below is La3Pr5Sm after structural relaxation, with properties calculated at the PBE-GGA level.

Summary:
* size of the total moment: 0.00 μB/atom
* energy relative to the elements: 0.3713 eV/atom
* space group: C2/m, No. 12

a = 7.5450 Å, b = 7.5450 Å, c = 13.2899 Å
α = 101.71°, β = 101.71°, γ = 71.16°
Element x y z (fractional)
La: 0.0000 0.0000 0.0000
La: 0.0000 0.0000 0.5000
La: 0.2740 0.2740 0.5463
La: 0.4286 0.4286 0.7915
La: 0.5714 0.5714 0.2085
La: 0.7260 0.7260 0.4537
Pr: 0.0364 0.6582 0.2227
Pr: 0.2668 0.2668 0.0424
Pr: 0.3145 0.6855 0.0000
Pr: 0.3418 0.9636 0.7773
Pr: 0.4280 0.4280 0.3813
Pr: 0.5720 0.5720 0.6187
Pr: 0.6582 0.0364 0.2227
Pr: 0.6855 0.3145 0.0000
Pr: 0.7332 0.7332 0.9576
Pr: 0.9636 0.3418 0.7773
Sm: 0.1290 0.1290 0.2673
Sm: 0.8710 0.8710 0.7327

[6]
Below is MgTaSbI2 after structural relaxation, with properties calculated at the PBE-GGA level.

Summary:
* size of the total moment: 0.00 μB/atom
* formation energy from raw total energies: 0.37 eV/atom
* space group: P4/mmm, No. 123

a = 5.5480 Å, b = 5.5480 Å, c = 5.5132 Å
α = 90.00°, β = 90.00°, γ = 90.00°
Element x y z (fractional)
Mg: 0.0000 0.0000 0.0000
Ta: 0.5000 0.5000 0.5000
Sb: 0.5000 0.5000 0.0000
I: 0.0000 0.5000 0.5000
I: 0.5000 0.0000 0.5000

[7]
Below is NpTiRh2 after structural relaxation, with properties calculated at the PBE-GGA level.

Summary:
* size of the total moment: 0.73 μB/atom
* energy relative to the elements: -0.2764 eV/atom
* space group: R-3m, No. 166

a = 2.8692 Å, b = 2.8692 Å, c = 27.7556 Å
α = 90.00°, β = 90.00°, γ = 120.00°
Element x y z (fractional)
Np: 0.0000 0.0000 0.0000
Np: 0.3333 0.6667 0.6667
Np: 0.6667 0.3333 0.3333
Ti: 0.0000 0.0000 0.5000
Ti: 0.3333 0.6667 0.1667
Ti: 0.6667 0.3333 0.8333
Rh: 0.0000 0.0000 0.2397
Rh: 0.0000 0.0000 0.7603
Rh: 0.3333 0.6667 0.4269
Rh: 0.3333 0.6667 0.9064
Rh: 0.6667 0.3333 0.0936
Rh: 0.6667 0.3333 0.5731

[8]
Below is KTaBr2 after structural relaxation, with properties calculated at the PBE-GGA level.

Summary:
* size of the total moment: 0.94 μB/atom
* formation energy from raw total energies: 0.09 eV/atom
* space group: I-42d, No. 122

a = 6.0782 Å, b = 6.0782 Å, c = 16.0328 Å
α = 90.00°, β = 90.00°, γ = 90.00°
Element x y z (fractional)
K: 0.0000 0.0000 0.0000
K: 0.0000 0.5000 0.2500
K: 0.5000 0.0000 0.7500
K: 0.5000 0.5000 0.5000
Ta: 0.0000 0.0000 0.5000
Ta: 0.0000 0.5000 0.7500
Ta: 0.5000 0.0000 0.2500
Ta: 0.5000 0.5000 0.0000
Br: 0.1616 0.2500 0.6250
Br: 0.2500 0.6616 0.8750
Br: 0.2500 0.8384 0.3750
Br: 0.3384 0.2500 0.1250
Br: 0.6616 0.7500 0.1250
Br: 0.7500 0.1616 0.3750
Br: 0.7500 0.3384 0.8750
Br: 0.8384 0.7500 0.6250